# 1
A relaxed structure of TiSb3Br, computed with PBE.

Output
For the relative energy among the computed polymorphs, the calculation gives 1156.2 meV/atom. The total energy is -16.26 eV for the cell shown.

a = 5.379 Å, b = 5.379 Å, c = 5.379 Å
α = 90.00°, β = 90.00°, γ = 90.00°
Fractional coordinates of all 5 atoms:
Ti (0.000, 0.000, 0.000)
Sb (0.000, 0.500, 0.500)
Sb (0.500, 0.000, 0.500)
Sb (0.500, 0.500, 0.000)
Br (0.500, 0.500, 0.500)



# 2
A relaxed structure of TiSb3Br, computed with PBE.

Output
For the relative energy among the computed polymorphs, the calculation gives 0.0 meV/atom. The total energy is -22.04 eV for the cell shown.

a = 5.254 Å, b = 5.254 Å, c = 5.254 Å
α = 90.00°, β = 90.00°, γ = 90.00°
Fractional coordinates of all 5 atoms:
Ti (0.000, 0.000, 0.000)
Sb (0.000, 0.000, 0.500)
Sb (0.000, 0.500, 0.000)
Sb (0.500, 0.000, 0.000)
Br (0.500, 0.500, 0.500)



# 3
A relaxed structure of Ti3SbBr, computed with PBE.

Output
For the relative energy among the computed polymorphs, the calculation gives 0.0 meV/atom. The total energy is -27.87 eV for the cell shown.

a = 4.693 Å, b = 4.693 Å, c = 4.693 Å
α = 90.00°, β = 90.00°, γ = 90.00°
Fractional coordinates of all 5 atoms:
Ti (0.000, 0.000, 0.500)
Ti (0.000, 0.500, 0.000)
Ti (0.500, 0.000, 0.000)
Sb (0.500, 0.500, 0.500)
Br (0.000, 0.000, 0.000)



# 4
A relaxed structure of Ti3SbBr, computed with PBE.

Output
For the relative energy among the computed polymorphs, the calculation gives 448.9 meV/atom. The total energy is -25.63 eV for the cell shown.

a = 5.295 Å, b = 5.295 Å, c = 5.295 Å
α = 90.00°, β = 90.00°, γ = 90.00°
Fractional coordinates of all 5 atoms:
Ti (0.000, 0.000, 0.500)
Ti (0.000, 0.500, 0.000)
Ti (0.500, 0.000, 0.000)
Sb (0.000, 0.000, 0.000)
Br (0.500, 0.500, 0.500)



# 5
A relaxed structure of TiSb2Br, computed with PBE.

Output
For the relative energy among the computed polymorphs, the calculation gives 0.0 meV/atom. The total energy is -67.47 eV for the cell shown.

a = 5.489 Å, b = 5.489 Å, c = 17.742 Å
α = 90.00°, β = 90.00°, γ = 90.00°
Fractional coordinates of all 16 atoms:
Ti (0.000, 0.000, 0.000)
Ti (0.000, 0.500, 0.250)
Ti (0.500, 0.000, 0.750)
Ti (0.500, 0.500, 0.500)
Sb (0.136, 0.250, 0.125)
Sb (0.250, 0.636, 0.375)
Sb (0.250, 0.864, 0.875)
Sb (0.364, 0.250, 0.625)
Sb (0.636, 0.750, 0.625)
Sb (0.750, 0.136, 0.875)
Sb (0.750, 0.364, 0.375)
Sb (0.864, 0.750, 0.125)
Br (0.000, 0.000, 0.500)
Br (0.000, 0.500, 0.750)
Br (0.500, 0.000, 0.250)
Br (0.500, 0.500, 0.000)



# 6
A relaxed structure of Tl4SbBr, computed with PBE.

Output
The total energy is -15.19 eV for the cell shown.

a = 6.503 Å, b = 6.503 Å, c = 6.503 Å
α = 60.00°, β = 60.00°, γ = 60.00°
Fractional coordinates of all 6 atoms:
Tl (0.125, 0.125, 0.125)
Tl (0.125, 0.125, 0.624)
Tl (0.125, 0.624, 0.125)
Tl (0.624, 0.125, 0.125)
Sb (0.500, 0.500, 0.500)
Br (0.750, 0.750, 0.750)



# 7
A relaxed structure of TlSbBr, computed with PBE.

Output
For the relative energy among the computed polymorphs, the calculation gives 0.0 meV/atom. The total energy is -18.29 eV for the cell shown.

a = 3.855 Å, b = 3.855 Å, c = 14.503 Å
α = 90.00°, β = 90.00°, γ = 90.00°
Fractional coordinates of all 6 atoms:
Tl (0.250, 0.250, 0.111)
Tl (0.750, 0.750, 0.889)
Sb (0.250, 0.250, 0.450)
Sb (0.750, 0.750, 0.550)
Br (0.250, 0.250, 0.785)
Br (0.750, 0.750, 0.215)



# 8
A relaxed structure of Tl3SbBr7, computed with PBE.

Output
The total energy is -30.20 eV for the cell shown.

a = 7.743 Å, b = 7.743 Å, c = 8.696 Å
α = 113.32°, β = 113.32°, γ = 82.06°
Fractional coordinates of all 11 atoms:
Tl (0.000, 0.000, 0.000)
Tl (0.292, 0.727, 0.549)
Tl (0.727, 0.292, 0.549)
Sb (0.498, 0.498, 0.033)
Br (0.160, 0.539, 0.781)
Br (0.329, 0.329, 0.161)
Br (0.446, 0.837, 0.271)
Br (0.539, 0.160, 0.781)
Br (0.676, 0.676, 0.918)
Br (0.837, 0.446, 0.271)
Br (0.980, 0.980, 0.639)



# 9
A relaxed structure of Tl2Sb2Br, computed with PBE.

Output
For the relative energy among the computed polymorphs, the calculation gives 275.8 meV/atom. The total energy is -29.22 eV for the cell shown.

a = 9.313 Å, b = 9.313 Å, c = 3.777 Å
α = 90.00°, β = 90.00°, γ = 90.00°
Fractional coordinates of all 10 atoms:
Tl (0.187, 0.313, 0.000)
Tl (0.313, 0.813, 0.000)
Tl (0.687, 0.187, 0.000)
Tl (0.813, 0.687, 0.000)
Sb (0.108, 0.608, 0.500)
Sb (0.392, 0.108, 0.500)
Sb (0.608, 0.892, 0.500)
Sb (0.892, 0.392, 0.500)
Br (0.000, 0.000, 0.500)
Br (0.500, 0.500, 0.500)



# 10
A relaxed structure of Tl2SbBr5, computed with PBE.

Output
For the relative energy among the computed polymorphs, the calculation gives 0.0 meV/atom. The total energy is -23.05 eV for the cell shown.

a = 6.255 Å, b = 7.823 Å, c = 8.945 Å
α = 68.43°, β = 69.77°, γ = 66.45°
Fractional coordinates of all 8 atoms:
Tl (0.000, 0.000, 0.000)
Tl (0.401, 0.687, 0.516)
Sb (0.186, 0.344, 0.258)
Br (0.161, 0.110, 0.584)
Br (0.248, 0.578, 0.932)
Br (0.425, 0.012, 0.136)
Br (0.768, 0.343, 0.259)
Br (0.973, 0.675, 0.380)



# 11
A relaxed structure of Tl4SbBr6, computed with PBE.

Output
The total energy is -61.58 eV for the cell shown.

a = 9.087 Å, b = 9.087 Å, c = 9.329 Å
α = 90.00°, β = 90.00°, γ = 90.00°
Fractional coordinates of all 22 atoms:
Tl (0.158, 0.342, 0.250)
Tl (0.158, 0.342, 0.750)
Tl (0.342, 0.842, 0.250)
Tl (0.342, 0.842, 0.750)
Tl (0.658, 0.158, 0.250)
Tl (0.658, 0.158, 0.750)
Tl (0.842, 0.658, 0.250)
Tl (0.842, 0.658, 0.750)
Sb (0.000, 0.000, 0.000)
Sb (0.500, 0.500, 0.500)
Br (0.000, 0.000, 0.300)
Br (0.000, 0.000, 0.700)
Br (0.132, 0.680, 0.000)
Br (0.180, 0.632, 0.500)
Br (0.320, 0.132, 0.000)
Br (0.368, 0.180, 0.500)
Br (0.500, 0.500, 0.200)
Br (0.500, 0.500, 0.800)
Br (0.632, 0.820, 0.500)
Br (0.680, 0.868, 0.000)
Br (0.820, 0.368, 0.500)
Br (0.868, 0.320, 0.000)



# 12
A relaxed structure of Tl5SbBr8, computed with PBE.

Output
The total energy is -39.60 eV for the cell shown.

a = 8.542 Å, b = 8.542 Å, c = 8.542 Å
α = 110.11°, β = 110.11°, γ = 108.19°
Fractional coordinates of all 14 atoms:
Tl (0.000, 0.000, 0.000)
Tl (0.241, 0.104, 0.614)
Tl (0.373, 0.759, 0.864)
Tl (0.490, 0.627, 0.386)
Tl (0.896, 0.510, 0.136)
Sb (0.750, 0.250, 0.500)
Br (0.084, 0.349, 0.396)
Br (0.098, 0.387, 0.851)
Br (0.311, 0.916, 0.264)
Br (0.537, 0.247, 0.149)
Br (0.613, 0.463, 0.711)
Br (0.651, 0.047, 0.736)
Br (0.753, 0.902, 0.289)
Br (0.953, 0.689, 0.604)



# 13
A relaxed structure of Tl3SbBr, computed with PBE.

Output
For the relative energy among the computed polymorphs, the calculation gives 0.0 meV/atom. The total energy is -12.79 eV for the cell shown.

a = 6.170 Å, b = 6.170 Å, c = 6.170 Å
α = 90.00°, β = 90.00°, γ = 90.00°
Fractional coordinates of all 5 atoms:
Tl (0.000, 0.000, 0.500)
Tl (0.000, 0.500, 0.000)
Tl (0.500, 0.000, 0.000)
Sb (0.000, 0.000, 0.000)
Br (0.500, 0.500, 0.500)



# 14
A relaxed structure of Tl2Sb2Br, computed with PBE.

Output
For the relative energy among the computed polymorphs, the calculation gives 0.0 meV/atom. The total energy is -31.97 eV for the cell shown.

a = 4.265 Å, b = 4.265 Å, c = 19.023 Å
α = 90.00°, β = 90.00°, γ = 90.00°
Fractional coordinates of all 10 atoms:
Tl (0.000, 0.000, 0.095)
Tl (0.000, 0.000, 0.905)
Tl (0.500, 0.500, 0.405)
Tl (0.500, 0.500, 0.595)
Sb (0.000, 0.500, 0.250)
Sb (0.000, 0.500, 0.750)
Sb (0.500, 0.000, 0.250)
Sb (0.500, 0.000, 0.750)
Br (0.000, 0.000, 0.500)
Br (0.500, 0.500, 0.000)



# 15
A relaxed structure of TlSbBr5, computed with PBE.

Output
For the relative energy among the computed polymorphs, the calculation gives 0.0 meV/atom. The total energy is -37.32 eV for the cell shown.

a = 8.265 Å, b = 8.265 Å, c = 10.633 Å
α = 106.63°, β = 106.63°, γ = 59.67°
Fractional coordinates of all 14 atoms:
Tl (0.062, 0.938, 0.750)
Tl (0.938, 0.062, 0.250)
Sb (0.500, 0.500, 0.000)
Sb (0.500, 0.500, 0.500)
Br (0.129, 0.609, 0.893)
Br (0.151, 0.548, 0.489)
Br (0.383, 0.617, 0.250)
Br (0.391, 0.871, 0.607)
Br (0.452, 0.849, 0.011)
Br (0.548, 0.151, 0.989)
Br (0.609, 0.129, 0.393)
Br (0.617, 0.383, 0.750)
Br (0.849, 0.452, 0.511)
Br (0.871, 0.391, 0.107)



# 16
A relaxed structure of TlSbBr, computed with PBE.

Output
For the relative energy among the computed polymorphs, the calculation gives 306.6 meV/atom. The total energy is -32.91 eV for the cell shown.

a = 4.667 Å, b = 5.169 Å, c = 14.572 Å
α = 90.00°, β = 90.00°, γ = 90.00°
Fractional coordinates of all 12 atoms:
Tl (0.000, 0.000, 0.000)
Tl (0.000, 0.500, 0.500)
Tl (0.500, 0.000, 0.500)
Tl (0.500, 0.500, 0.000)
Sb (0.000, 0.000, 0.677)
Sb (0.000, 0.500, 0.177)
Sb (0.500, 0.000, 0.177)
Sb (0.500, 0.500, 0.677)
Br (0.000, 0.000, 0.345)
Br (0.000, 0.500, 0.845)
Br (0.500, 0.000, 0.845)
Br (0.500, 0.500, 0.345)



# 17
A relaxed structure of TlSb2Br6, computed with PBE.

Output
For the relative energy among the computed polymorphs, the calculation gives 21.1 meV/atom. The total energy is -25.36 eV for the cell shown.

a = 7.699 Å, b = 7.699 Å, c = 6.962 Å
α = 90.00°, β = 90.00°, γ = 120.00°
Fractional coordinates of all 9 atoms:
Tl (0.000, 0.000, 0.000)
Sb (0.333, 0.667, 0.500)
Sb (0.667, 0.333, 0.500)
Br (0.000, 0.363, 0.723)
Br (0.000, 0.637, 0.277)
Br (0.363, 0.000, 0.723)
Br (0.363, 0.363, 0.277)
Br (0.637, 0.000, 0.277)
Br (0.637, 0.637, 0.723)



# 18
A relaxed structure of TlSb4Br, computed with PBE.

Output
The total energy is -20.60 eV for the cell shown.

a = 6.658 Å, b = 6.658 Å, c = 6.658 Å
α = 60.00°, β = 60.00°, γ = 60.00°
Fractional coordinates of all 6 atoms:
Tl (0.000, 0.000, 0.000)
Sb (0.392, 0.392, 0.392)
Sb (0.392, 0.392, 0.825)
Sb (0.392, 0.825, 0.392)
Sb (0.825, 0.392, 0.392)
Br (0.750, 0.750, 0.750)



# 19
A relaxed structure of Tl4SbBr7, computed with PBE.

Output
The total energy is -34.40 eV for the cell shown.

a = 8.734 Å, b = 8.734 Å, c = 11.321 Å
α = 104.76°, β = 104.76°, γ = 37.30°
Fractional coordinates of all 12 atoms:
Tl (0.018, 0.018, 0.205)
Tl (0.251, 0.251, 0.828)
Tl (0.749, 0.749, 0.172)
Tl (0.982, 0.982, 0.795)
Sb (0.500, 0.500, 0.500)
Br (0.000, 0.000, 0.500)
Br (0.147, 0.147, 0.037)
Br (0.376, 0.376, 0.275)
Br (0.383, 0.383, 0.642)
Br (0.617, 0.617, 0.358)
Br (0.624, 0.624, 0.725)
Br (0.853, 0.853, 0.963)



# 20
A relaxed structure of TlSbBr, computed with PBE.

Output
For the relative energy among the computed polymorphs, the calculation gives 283.7 meV/atom. The total energy is -8.30 eV for the cell shown.

a = 5.417 Å, b = 5.417 Å, c = 3.512 Å
α = 90.00°, β = 90.00°, γ = 120.00°
Fractional coordinates of all 3 atoms:
Tl (0.000, 0.000, 0.000)
Sb (0.333, 0.667, 0.500)
Br (0.667, 0.333, 0.500)